No. 1
# Zr6ZnRu5 (GGA-PBE, optimized geometry)
data_Zr6ZnRu5
_cell_length_a 8.069
_cell_length_b 8.069
_cell_length_c 8.069
_cell_angle_alpha 146.45
_cell_angle_beta 132.01
_cell_angle_gamma 59.82
_space_group_name_H-M_alt 'P 1'
_space_group_IT_number 1
_space_group_name_Hall 'P 1'
loop_
_atom_site_label
_atom_site_fract_x
_atom_site_fract_y
_atom_site_fract_z
Zr1 0.081 0.332 0.749
Zr2 0.246 0.000 0.246
Zr3 0.417 0.668 0.749
Zr4 0.583 0.332 0.251
Zr5 0.754 0.000 0.754
Zr6 0.919 0.668 0.251
Zn1 0.500 0.500 0.000
Ru1 0.000 0.500 0.500
Ru2 0.167 0.167 0.000
Ru3 0.334 0.834 0.500
Ru4 0.666 0.166 0.500
Ru5 0.833 0.833 0.000
# Calculated formation energy ... -0.55 eV/atom
# Density of states at the Fermi level ... 3.65 states/eV/cell

=====

No. 2
# ErPuCuTc (GGA-PBE, optimized geometry)
data_ErPuCuTc
_cell_length_a 6.822
_cell_length_b 6.822
_cell_length_c 6.822
_cell_angle_alpha 90.00
_cell_angle_beta 90.00
_cell_angle_gamma 90.00
_space_group_name_H-M_alt 'P 1'
_space_group_IT_number 1
_space_group_name_Hall 'P 1'
loop_
_atom_site_label
_atom_site_fract_x
_atom_site_fract_y
_atom_site_fract_z
Er1 0.000 0.000 0.000
Er2 0.000 0.500 0.500
Er3 0.500 0.000 0.500
Er4 0.500 0.500 0.000
Pu1 0.000 0.000 0.500
Pu2 0.000 0.500 0.000
Pu3 0.500 0.000 0.000
Pu4 0.500 0.500 0.500
Cu1 0.250 0.250 0.750
Cu2 0.250 0.750 0.250
Cu3 0.750 0.250 0.250
Cu4 0.750 0.750 0.750
Tc1 0.250 0.250 0.250
Tc2 0.250 0.750 0.750
Tc3 0.750 0.250 0.750
Tc4 0.750 0.750 0.250
# Calculated formation energy ... 0.01 eV/atom
# Density of states at the Fermi level ... 34.52 states/eV/cell

=====

No. 3
# Rb2In2Cl (GGA-PBE, optimized geometry)
data_Rb2In2Cl
_cell_length_a 4.257
_cell_length_b 4.257
_cell_length_c 21.018
_cell_angle_alpha 90.00
_cell_angle_beta 90.00
_cell_angle_gamma 90.00
_space_group_name_H-M_alt 'P 1'
_space_group_IT_number 1
_space_group_name_Hall 'P 1'
loop_
_atom_site_label
_atom_site_fract_x
_atom_site_fract_y
_atom_site_fract_z
Rb1 0.000 0.000 0.090
Rb2 0.000 0.000 0.910
Rb3 0.500 0.500 0.410
Rb4 0.500 0.500 0.590
In1 0.000 0.500 0.250
In2 0.000 0.500 0.750
In3 0.500 0.000 0.250
In4 0.500 0.000 0.750
Cl1 0.000 0.000 0.500
Cl2 0.500 0.500 0.000
# Density of states at the Fermi level ... 2.11 states/eV/cell

=====

No. 4
# BaTiCo2Os (GGA-PBE, optimized geometry)
data_BaTiCo2Os
_cell_length_a 4.592
_cell_length_b 4.592
_cell_length_c 5.080
_cell_angle_alpha 90.00
_cell_angle_beta 90.00
_cell_angle_gamma 90.00
_space_group_name_H-M_alt 'P 1'
_space_group_IT_number 1
_space_group_name_Hall 'P 1'
loop_
_atom_site_label
_atom_site_fract_x
_atom_site_fract_y
_atom_site_fract_z
Ba1 0.000 0.000 0.000
Ti1 0.500 0.500 0.500
Co1 0.000 0.500 0.000
Co2 0.500 0.000 0.000
Os1 0.000 0.000 0.500
# Calculated formation energy ... 2.54 eV/atom
# Density of states at the Fermi level ... 5.08 states/eV/cell

=====

No. 5
# TaPdO2 (GGA-PBE, optimized geometry)
data_TaPdO2
_cell_length_a 2.933
_cell_length_b 2.933
_cell_length_c 20.345
_cell_angle_alpha 90.00
_cell_angle_beta 90.00
_cell_angle_gamma 120.00
_space_group_name_H-M_alt 'P 1'
_space_group_IT_number 1
_space_group_name_Hall 'P 1'
loop_
_atom_site_label
_atom_site_fract_x
_atom_site_fract_y
_atom_site_fract_z
Ta1 0.000 0.000 0.000
Ta2 0.333 0.667 0.667
Ta3 0.667 0.333 0.333
Pd1 0.000 0.000 0.500
Pd2 0.333 0.667 0.167
Pd3 0.667 0.333 0.833
O1 0.000 0.000 0.397
O2 0.000 0.000 0.603
O3 0.333 0.667 0.063
O4 0.333 0.667 0.270
O5 0.667 0.333 0.730
O6 0.667 0.333 0.937
# Offset from the most stable computed form ... 0 kJ/mol of formula units
# Density of states at the Fermi level ... 5.32 states/eV/cell

=====

No. 6
# NpTl2O6 (GGA-PBE, optimized geometry)
data_NpTl2O6
_cell_length_a 5.475
_cell_length_b 5.475
_cell_length_c 10.494
_cell_angle_alpha 90.00
_cell_angle_beta 90.00
_cell_angle_gamma 90.00
_space_group_name_H-M_alt 'P 1'
_space_group_IT_number 1
_space_group_name_Hall 'P 1'
loop_
_atom_site_label
_atom_site_fract_x
_atom_site_fract_y
_atom_site_fract_z
Np1 0.000 0.000 0.000
Np2 0.500 0.500 0.500
Tl1 0.000 0.500 0.250
Tl2 0.000 0.500 0.750
Tl3 0.500 0.000 0.250
Tl4 0.500 0.000 0.750
O1 0.196 0.196 0.155
O2 0.196 0.196 0.845
O3 0.236 0.764 0.000
O4 0.264 0.264 0.500
O5 0.304 0.696 0.345
O6 0.304 0.696 0.655
O7 0.696 0.304 0.345
O8 0.696 0.304 0.655
O9 0.736 0.736 0.500
O10 0.764 0.236 0.000
O11 0.804 0.804 0.155
O12 0.804 0.804 0.845
# Density of states at the Fermi level ... 10.11 states/eV/cell

=====

No. 7
# Mg2Ga2Pd5Au (GGA-PBE, optimized geometry)
data_Mg2Ga2Pd5Au
_cell_length_a 9.426
_cell_length_b 9.426
_cell_length_c 3.766
_cell_angle_alpha 90.00
_cell_angle_beta 90.00
_cell_angle_gamma 90.00
_space_group_name_H-M_alt 'P 1'
_space_group_IT_number 1
_space_group_name_Hall 'P 1'
loop_
_atom_site_label
_atom_site_fract_x
_atom_site_fract_y
_atom_site_fract_z
Mg1 0.173 0.327 0.000
Mg2 0.327 0.827 0.000
Mg3 0.673 0.173 0.000
Mg4 0.827 0.673 0.000
Ga1 0.126 0.626 0.000
Ga2 0.374 0.126 0.000
Ga3 0.626 0.874 0.000
Ga4 0.874 0.374 0.000
Pd1 0.000 0.500 0.500
Pd2 0.077 0.797 0.500
Pd3 0.203 0.077 0.500
Pd4 0.297 0.577 0.500
Pd5 0.423 0.297 0.500
Pd6 0.500 0.000 0.500
Pd7 0.577 0.703 0.500
Pd8 0.703 0.423 0.500
Pd9 0.797 0.923 0.500
Pd10 0.923 0.203 0.500
Au1 0.000 0.000 0.000
Au2 0.500 0.500 0.000
# Calculated formation energy ... -0.54 eV/atom
# Density of states at the Fermi level ... 6.15 states/eV/cell

=====

No. 8
# Sc4ZnGaO (GGA-PBE, optimized geometry)
data_Sc4ZnGaO
_cell_length_a 7.781
_cell_length_b 7.781
_cell_length_c 6.031
_cell_angle_alpha 90.00
_cell_angle_beta 90.00
_cell_angle_gamma 134.38
_space_group_name_H-M_alt 'P 1'
_space_group_IT_number 1
_space_group_name_Hall 'P 1'
loop_
_atom_site_label
_atom_site_fract_x
_atom_site_fract_y
_atom_site_fract_z
Sc1 0.000 0.500 0.000
Sc2 0.000 0.500 0.500
Sc3 0.078 0.922 0.750
Sc4 0.420 0.580 0.750
Sc5 0.500 0.000 0.000
Sc6 0.500 0.000 0.500
Sc7 0.580 0.420 0.250
Sc8 0.922 0.078 0.250
Zn1 0.117 0.883 0.250
Zn2 0.883 0.117 0.750
Ga1 0.385 0.615 0.250
Ga2 0.615 0.385 0.750
O1 0.250 0.750 0.750
O2 0.750 0.250 0.250
# Density of states at the Fermi level ... 8.66 states/eV/cell

=====

No. 9
# HgH2W (GGA-PBE, optimized geometry)
data_HgH2W
_cell_length_a 5.567
_cell_length_b 5.567
_cell_length_c 5.780
_cell_angle_alpha 90.00
_cell_angle_beta 90.00
_cell_angle_gamma 90.00
_space_group_name_H-M_alt 'P 1'
_space_group_IT_number 1
_space_group_name_Hall 'P 1'
loop_
_atom_site_label
_atom_site_fract_x
_atom_site_fract_y
_atom_site_fract_z
Hg1 0.000 0.000 0.000
Hg2 0.000 0.500 0.250
Hg3 0.500 0.000 0.750
Hg4 0.500 0.500 0.500
H1 0.159 0.250 0.625
H2 0.250 0.659 0.875
H3 0.250 0.841 0.375
H4 0.341 0.250 0.125
H5 0.659 0.750 0.125
H6 0.750 0.159 0.375
H7 0.750 0.341 0.875
H8 0.841 0.750 0.625
W1 0.000 0.000 0.500
W2 0.000 0.500 0.750
W3 0.500 0.000 0.250
W4 0.500 0.500 0.000
# Offset from the most stable computed form ... 0 kJ/mol of formula units
# Density of states at the Fermi level ... 0.87 states/eV/cell

=====

No. 10
# Tm2Si3Ni12Pt (GGA-PBE, optimized geometry)
data_Tm2Si3Ni12Pt
_cell_length_a 6.258
_cell_length_b 6.258
_cell_length_c 6.258
_cell_angle_alpha 85.25
_cell_angle_beta 85.25
_cell_angle_gamma 85.25
_space_group_name_H-M_alt 'P 1'
_space_group_IT_number 1
_space_group_name_Hall 'P 1'
loop_
_atom_site_label
_atom_site_fract_x
_atom_site_fract_y
_atom_site_fract_z
Tm1 0.181 0.181 0.181
Tm2 0.819 0.819 0.819
Si1 0.000 0.500 0.500
Si2 0.500 0.000 0.500
Si3 0.500 0.500 0.000
Ni1 0.107 0.107 0.610
Ni2 0.107 0.610 0.107
Ni3 0.193 0.693 0.693
Ni4 0.307 0.307 0.807
Ni5 0.307 0.807 0.307
Ni6 0.390 0.893 0.893
Ni7 0.610 0.107 0.107
Ni8 0.693 0.193 0.693
Ni9 0.693 0.693 0.193
Ni10 0.807 0.307 0.307
Ni11 0.893 0.390 0.893
Ni12 0.893 0.893 0.390
Pt1 0.500 0.500 0.500
# Density of states at the Fermi level ... 16.09 states/eV/cell

=====

No. 11
# SiSnS2N (GGA-PBE, optimized geometry)
data_SiSnS2N
_cell_length_a 11.914
_cell_length_b 3.460
_cell_length_c 5.110
_cell_angle_alpha 90.00
_cell_angle_beta 111.89
_cell_angle_gamma 90.00
_space_group_name_H-M_alt 'P 1'
_space_group_IT_number 1
_space_group_name_Hall 'P 1'
loop_
_atom_site_label
_atom_site_fract_x
_atom_site_fract_y
_atom_site_fract_z
Si1 0.000 0.000 0.000
Si2 0.500 0.500 0.000
Sn1 0.233 0.500 0.431
Sn2 0.733 0.000 0.431
S1 0.009 0.500 0.742
S2 0.316 0.500 0.986
S3 0.509 0.000 0.742
S4 0.816 0.000 0.986
N1 0.120 0.000 0.314
N2 0.620 0.500 0.314
# Offset from the most stable computed form ... 29 kJ/mol of formula units
# Density of states at the Fermi level ... 1.46 states/eV/cell

=====

No. 12
# ErZrRuPt (GGA-PBE, optimized geometry)
data_ErZrRuPt
_cell_length_a 6.729
_cell_length_b 6.729
_cell_length_c 6.729
_cell_angle_alpha 90.00
_cell_angle_beta 90.00
_cell_angle_gamma 90.00
_space_group_name_H-M_alt 'P 1'
_space_group_IT_number 1
_space_group_name_Hall 'P 1'
loop_
_atom_site_label
_atom_site_fract_x
_atom_site_fract_y
_atom_site_fract_z
Er1 0.000 0.000 0.000
Er2 0.000 0.500 0.500
Er3 0.500 0.000 0.500
Er4 0.500 0.500 0.000
Zr1 0.000 0.000 0.500
Zr2 0.000 0.500 0.000
Zr3 0.500 0.000 0.000
Zr4 0.500 0.500 0.500
Ru1 0.250 0.250 0.250
Ru2 0.250 0.750 0.750
Ru3 0.750 0.250 0.750
Ru4 0.750 0.750 0.250
Pt1 0.250 0.250 0.750
Pt2 0.250 0.750 0.250
Pt3 0.750 0.250 0.250
Pt4 0.750 0.750 0.750
# Calculated formation energy ... -0.77 eV/atom
# Density of states at the Fermi level ... 8.87 states/eV/cell

=====

No. 13
# La8NdDy2 (GGA-PBE, optimized geometry)
data_La8NdDy2
_cell_length_a 10.472
_cell_length_b 10.472
_cell_length_c 5.809
_cell_angle_alpha 92.87
_cell_angle_beta 92.87
_cell_angle_gamma 40.23
_space_group_name_H-M_alt 'P 1'
_space_group_IT_number 1
_space_group_name_Hall 'P 1'
loop_
_atom_site_label
_atom_site_fract_x
_atom_site_fract_y
_atom_site_fract_z
La1 0.044 0.044 0.238
La2 0.094 0.641 0.265
La3 0.314 0.314 0.765
La4 0.359 0.906 0.735
La5 0.641 0.094 0.265
La6 0.686 0.686 0.235
La7 0.906 0.359 0.735
La8 0.956 0.956 0.762
Nd1 0.500 0.500 0.000
Dy1 0.216 0.216 0.255
Dy2 0.784 0.784 0.745
# Offset from the most stable computed form ... 5 kJ/mol of formula units
# Calculated formation energy ... 0.14 eV/atom
# Density of states at the Fermi level ... 17.88 states/eV/cell

=====

No. 14
# HfRu (GGA-PBE, optimized geometry)
data_HfRu
_cell_length_a 7.351
_cell_length_b 7.351
_cell_length_c 4.864
_cell_angle_alpha 90.00
_cell_angle_beta 90.00
_cell_angle_gamma 120.00
_space_group_name_H-M_alt 'P 1'
_space_group_IT_number 1
_space_group_name_Hall 'P 1'
loop_
_atom_site_label
_atom_site_fract_x
_atom_site_fract_y
_atom_site_fract_z
Hf1 0.110 0.796 0.250
Hf2 0.204 0.314 0.250
Hf3 0.314 0.110 0.750
Hf4 0.686 0.890 0.250
Hf5 0.796 0.686 0.750
Hf6 0.890 0.204 0.750
Ru1 0.108 0.620 0.750
Ru2 0.380 0.487 0.750
Ru3 0.487 0.108 0.250
Ru4 0.513 0.892 0.750
Ru5 0.620 0.513 0.250
Ru6 0.892 0.380 0.250
# Calculated formation energy ... -0.12 eV/atom
# Density of states at the Fermi level ... 10.67 states/eV/cell

=====

No. 15
# CeSmCuHg (GGA-PBE, optimized geometry)
data_CeSmCuHg
_cell_length_a 7.399
_cell_length_b 7.399
_cell_length_c 7.399
_cell_angle_alpha 90.00
_cell_angle_beta 90.00
_cell_angle_gamma 90.00
_space_group_name_H-M_alt 'P 1'
_space_group_IT_number 1
_space_group_name_Hall 'P 1'
loop_
_atom_site_label
_atom_site_fract_x
_atom_site_fract_y
_atom_site_fract_z
Ce1 0.000 0.000 0.000
Ce2 0.000 0.500 0.500
Ce3 0.500 0.000 0.500
Ce4 0.500 0.500 0.000
Sm1 0.000 0.000 0.500
Sm2 0.000 0.500 0.000
Sm3 0.500 0.000 0.000
Sm4 0.500 0.500 0.500
Cu1 0.250 0.250 0.250
Cu2 0.250 0.750 0.750
Cu3 0.750 0.250 0.750
Cu4 0.750 0.750 0.250
Hg1 0.250 0.250 0.750
Hg2 0.250 0.750 0.250
Hg3 0.750 0.250 0.250
Hg4 0.750 0.750 0.750
# Calculated formation energy ... -0.18 eV/atom
# Density of states at the Fermi level ... 39.92 states/eV/cell

=====

No. 16
# CsNa2InHg (GGA-PBE, optimized geometry)
data_CsNa2InHg
_cell_length_a 6.040
_cell_length_b 6.040
_cell_length_c 5.675
_cell_angle_alpha 90.00
_cell_angle_beta 90.00
_cell_angle_gamma 90.00
_space_group_name_H-M_alt 'P 1'
_space_group_IT_number 1
_space_group_name_Hall 'P 1'
loop_
_atom_site_label
_atom_site_fract_x
_atom_site_fract_y
_atom_site_fract_z
Cs1 0.000 0.000 0.000
Na1 0.000 0.500 0.500
Na2 0.500 0.000 0.500
In1 0.500 0.500 0.000
Hg1 0.500 0.500 0.500
# Offset from the most stable computed form ... 2 kJ/mol of formula units
# Calculated formation energy ... -0.07 eV/atom
# Density of states at the Fermi level ... 1.39 states/eV/cell

=====

No. 17
# Pr6P2SeS3 (GGA-PBE, optimized geometry)
data_Pr6P2SeS3
_cell_length_a 9.318
_cell_length_b 9.318
_cell_length_c 8.353
_cell_angle_alpha 102.65
_cell_angle_beta 102.65
_cell_angle_gamma 25.81
_space_group_name_H-M_alt 'P 1'
_space_group_IT_number 1
_space_group_name_Hall 'P 1'
loop_
_atom_site_label
_atom_site_fract_x
_atom_site_fract_y
_atom_site_fract_z
Pr1 0.004 0.004 0.263
Pr2 0.329 0.329 0.906
Pr3 0.331 0.331 0.420
Pr4 0.669 0.669 0.580
Pr5 0.671 0.671 0.094
Pr6 0.996 0.996 0.737
P1 0.166 0.166 0.333
P2 0.834 0.834 0.667
Se1 0.500 0.500 0.000
S1 0.164 0.164 0.835
S2 0.500 0.500 0.500
S3 0.836 0.836 0.165
# Density of states at the Fermi level ... 4.02 states/eV/cell

=====

| no. | calculated density (Mg/m³) | final energy (eV/atom) |
| --- | --- | --- |
| 1 | 8.68 | -8.799 |
| 2 | 11.99 | -8.327 |
| 3 | 3.80 | -2.589 |
| 4 | 7.65 | -4.512 |
| 5 | 10.50 | -8.218 |
| 6 | 7.83 | -6.782 |
| 7 | 9.10 | -4.385 |
| 8 | 4.21 | -6.040 |
| 9 | 14.33 | -4.463 |
| 10 | 9.04 | -5.727 |
| 11 | 3.82 | -5.472 |
| 12 | 12.09 | -7.881 |
| 13 | 6.39 | -4.716 |
| 14 | 12.24 | -9.737 |
| 15 | 9.09 | -3.947 |
| 16 | 3.96 | -1.377 |
| 17 | 5.84 | -6.488 |